Record 1
Entry from Alexandria: a relaxed ErSn4Rh crystal (PBE).

abc: 5.6928 5.6928 5.6928
angles: 106.72 106.72 115.12
Sites, in units of the cell vectors:
1 Er 0.0000 0.0000 0.0000
2 Sn 0.1353 0.5360 0.8806
3 Sn 0.4640 0.3446 0.5993
4 Sn 0.6554 0.2547 0.1194
5 Sn 0.7453 0.8647 0.4007
6 Rh 0.2500 0.7500 0.5000

Symmetry: I-4, No. 82
Formation energy (eV/atom): -0.251
Fermi-level density of states (states/eV/atom): 0.69
Mass density (g/cm³): 8.775

***

Record 2
Entry from Alexandria: a relaxed PaZnCu2 crystal (PBE).

abc: 5.5181 5.5181 6.1268
angles: 90.00 90.00 133.88
Sites, in units of the cell vectors:
1 Pa 0.0870 0.9130 0.7500
2 Pa 0.9130 0.0870 0.2500
3 Zn 0.2047 0.7953 0.2500
4 Zn 0.7953 0.2047 0.7500
5 Cu 0.3794 0.6206 0.5538
6 Cu 0.3794 0.6206 0.9462
7 Cu 0.6206 0.3794 0.0538
8 Cu 0.6206 0.3794 0.4462

Symmetry: Cmcm, No. 63
Formation energy (eV/atom): -0.043
Fermi-level density of states (states/eV/atom): 1.11
Mass density (g/cm³): 10.460

***

Record 3
Entry from Alexandria: a relaxed ErPuFe2 crystal (PBE).

abc: 3.3076 3.3076 6.6958
angles: 90.00 90.00 90.00
Sites, in units of the cell vectors:
1 Er 0.0000 0.0000 0.0000
2 Pu 0.0000 0.0000 0.5000
3 Fe 0.5000 0.5000 0.2830
4 Fe 0.5000 0.5000 0.7170

Symmetry: P4/mmm, No. 123
Formation energy (eV/atom): 0.021
Fermi-level density of states (states/eV/atom): 1.80
Mass density (g/cm³): 11.854